# 1
Y5PdRh4 | PBE | optimized geometry

a b c (Å): 3.426 3.426 17.551
angles (deg): 90.00 90.00 90.00
Atoms (fractional coordinates):
Pd  0.000  0.000  0.000
Y  0.500  0.500  0.104
Y  0.500  0.500  0.698
Rh  0.000  0.000  0.798
Y  0.500  0.500  0.302
Y  0.500  0.500  0.500
Rh  0.000  0.000  0.599
Rh  0.000  0.000  0.401
Y  0.500  0.500  0.896
Rh  0.000  0.000  0.202

Space-group type: P4/mmm, No. 123
Size of the total moment in μB/cell: 0.0
Formation energy from the elements in eV per formula unit: -8.50
VASP energy in eV for the cell shown: -75.42

# 2
La2EuC | PBE | optimized geometry

a b c (Å): 3.744 3.744 10.764
angles (deg): 79.98 79.98 60.00
Each line ends with the local moment (μB).
Atoms (fractional coordinates):
La  0.879  0.879  0.363  0.02
C  0.500  0.500  0.500  0.01
La  0.121  0.121  0.637  0.02
Eu  0.000  0.000  0.000  7.08

Space-group type: R-3m, No. 166
Size of the total moment in μB/cell: 7.8
Formation energy from the elements in eV per formula unit: -0.05
VASP energy in eV for the cell shown: -29.41

# 3
CsCa2Ag | PBE | optimized geometry

a b c (Å): 5.899 5.899 5.899
angles (deg): 60.00 60.00 60.00
Atoms (fractional coordinates):
Ca  0.750  0.750  0.750
Ca  0.250  0.250  0.250
Cs  0.500  0.500  0.500
Ag  0.000  0.000  0.000

Space-group type: Fm-3m, No. 225
Size of the total moment in μB/cell: 0.0
Formation energy from the elements in eV per formula unit: 0.99
ΔE to the lowest computed polymorph in eV per atom: 0.210
VASP energy in eV for the cell shown: -6.72